# 1
Computed, not measured: a geometry-optimized Rb4U3O10 structure at the GGA-PBE level of DFT.

a b c (Å): 16.149 16.149 16.149
angles (deg): 164.47 164.47 22.03
Positions (direct):
Rb1 0.069 0.069 0.000
Rb2 0.208 0.208 0.000
Rb3 0.792 0.792 0.000
Rb4 0.931 0.931 0.000
U1 0.363 0.363 0.000
U2 0.500 0.500 0.000
U3 0.637 0.637 0.000
O1 0.000 0.500 0.500
O2 0.137 0.637 0.500
O3 0.301 0.301 0.000
O4 0.363 0.863 0.500
O5 0.431 0.431 0.000
O6 0.500 0.000 0.500
O7 0.569 0.569 0.000
O8 0.637 0.137 0.500
O9 0.699 0.699 0.000
O10 0.863 0.363 0.500

Values from the calculation:
Formation energy from raw total energies in eV/f.u.: -47.20
Space group: No. 139
Total moment in μB per formula unit: 2.0



# 2
Computed, not measured: a geometry-optimized Rb3U4O12 structure at the GGA-PBE level of DFT.

a b c (Å): 7.472 7.472 7.472
angles (deg): 109.47 109.47 109.47
Positions (direct):
Rb1 0.000 0.500 0.500
Rb2 0.500 0.000 0.500
Rb3 0.500 0.500 0.000
U1 0.000 0.000 0.500
U2 0.000 0.500 0.000
U3 0.500 0.000 0.000
U4 0.500 0.500 0.500
O1 0.000 0.254 0.746
O2 0.000 0.746 0.254
O3 0.254 0.000 0.746
O4 0.254 0.254 0.507
O5 0.254 0.507 0.254
O6 0.254 0.746 0.000
O7 0.493 0.746 0.746
O8 0.507 0.254 0.254
O9 0.746 0.000 0.254
O10 0.746 0.254 0.000
O11 0.746 0.493 0.746
O12 0.746 0.746 0.493

Values from the calculation:
Formation energy from raw total energies in eV/f.u.: -55.66
Space group: No. 229
Total moment in μB per formula unit: 3.0



# 3
Computed, not measured: a geometry-optimized Rb2U2O7 structure at the GGA-PBE level of DFT.

a b c (Å): 7.511 8.117 7.010
angles (deg): 90.00 108.27 90.00
Positions (direct):
Rb1 0.007 0.122 0.269
Rb2 0.007 0.378 0.769
Rb3 0.993 0.622 0.231
Rb4 0.993 0.878 0.731
U1 0.495 0.620 0.724
U2 0.495 0.880 0.224
U3 0.505 0.120 0.776
U4 0.505 0.380 0.276
O1 0.231 0.621 0.636
O2 0.231 0.879 0.136
O3 0.240 0.132 0.689
O4 0.240 0.368 0.189
O5 0.491 0.639 0.394
O6 0.491 0.861 0.894
O7 0.500 0.000 0.500
O8 0.500 0.500 0.000
O9 0.509 0.139 0.106
O10 0.509 0.361 0.606
O11 0.760 0.632 0.811
O12 0.760 0.868 0.311
O13 0.769 0.121 0.864
O14 0.769 0.379 0.364

Values from the calculation:
Formation energy from raw total energies in eV/f.u.: -31.44
Space group: No. 14
Total moment in μB per formula unit: 0.0
Offset from the most stable computed form in kJ/mol of atoms: 0.0



# 4
Computed, not measured: a geometry-optimized Rb4UO5 structure at the GGA-PBE level of DFT.

a b c (Å): 6.881 6.881 6.881
angles (deg): 99.51 99.51 132.03
Positions (direct):
Rb1 0.106 0.704 0.810
Rb2 0.296 0.106 0.402
Rb3 0.704 0.894 0.598
Rb4 0.894 0.296 0.190
U1 0.477 0.477 0.000
O1 0.100 0.100 0.000
O2 0.282 0.431 0.713
O3 0.431 0.719 0.149
O4 0.569 0.282 0.851
O5 0.719 0.569 0.287

Values from the calculation:
Formation energy from raw total energies in eV/f.u.: -21.96
Space group: No. 79
Total moment in μB per formula unit: 0.0



# 5
Computed, not measured: a geometry-optimized Rb2U3O10 structure at the GGA-PBE level of DFT.

a b c (Å): 10.549 10.549 8.613
angles (deg): 111.35 111.35 38.14
Positions (direct):
Rb1 0.108 0.108 0.206
Rb2 0.206 0.206 0.835
Rb3 0.794 0.794 0.165
Rb4 0.892 0.892 0.794
U1 0.248 0.752 0.500
U2 0.315 0.315 0.491
U3 0.420 0.420 0.028
U4 0.580 0.580 0.972
U5 0.685 0.685 0.509
U6 0.752 0.248 0.500
O1 0.000 0.500 0.500
O2 0.021 0.021 0.658
O3 0.147 0.571 0.027
O4 0.161 0.637 0.487
O5 0.272 0.272 0.259
O6 0.313 0.687 0.000
O7 0.361 0.361 0.733
O8 0.363 0.839 0.513
O9 0.429 0.853 0.973
O10 0.476 0.476 0.331
O11 0.500 0.000 0.500
O12 0.524 0.524 0.669
O13 0.571 0.147 0.027
O14 0.637 0.161 0.487
O15 0.639 0.639 0.267
O16 0.687 0.313 0.000
O17 0.728 0.728 0.741
O18 0.839 0.363 0.513
O19 0.853 0.429 0.973
O20 0.979 0.979 0.342

Values from the calculation:
Formation energy from raw total energies in eV/f.u.: -43.20
Space group: No. 12
Total moment in μB per formula unit: 0.0



Which of these has the lowest formation energy from raw total energies? Rb3U4O12